No. 1
4
Lattice="-1.5112 2.1583 4.6983 1.5112 -2.1583 4.6983 1.5112 2.1583 -4.6983" Properties=species:S:1:pos:R:3 comment="PBE-GGA FeAs2Ir, optimized geometry" de_polymorph_mev_per_atom=215 formation_enthalpy_0k_mev_per_atom=219.0 pbc="T T T"
Fe 0.0000 0.0000 0.0000
As 0.0000 0.0000 4.6692
As 0.0000 2.1583 2.5905
Ir 1.5112 0.0000 2.5535

=====

No. 2
5
Lattice="4.9345 0.0000 0.0000 0.0000 4.9345 0.0000 0.0000 0.0000 4.9225" Properties=species:S:1:pos:R:3 comment="PBE-GGA FeSi2SnHg, optimized geometry" final_energy_ev_per_atom=-3.452 pbc="T T T"
Fe 0.0000 0.0000 0.0000
Si 0.0000 2.4673 2.4612
Si 2.4673 0.0000 2.4612
Sn 2.4673 2.4673 0.0000
Hg 0.0000 0.0000 2.4612

=====

No. 3
4
Lattice="2.6471 0.0000 0.0000 0.0000 2.6471 0.0000 0.0000 0.0000 8.0061" Properties=species:S:1:pos:R:3 comment="PBE-GGA Cr2PtW, optimized geometry" de_polymorph_mev_per_atom=131 formation_enthalpy_0k_mev_per_atom=122.3 pbc="T T T"
Cr 0.0000 0.0000 1.9337
Cr 0.0000 0.0000 6.0724
Pt 1.3235 1.3235 0.0000
W 1.3235 1.3235 4.0030

=====

Number 1: Fermi-level density of states 3.9 states/eV per cell. Number 2: Fermi-level density of states 7.4 states/eV per cell. Number 3: Fermi-level density of states 4.7 states/eV per cell.